# 1
Material: LiHg5Se4
Method: DFT, PBE
State: relaxed

abc: 6.9010 8.9402 9.2632
angles: 90.00 90.00 90.00
Last column: nearest neighbours and their distance in Å.
Sites, in units of the cell vectors:
1 Li 0.8020 0.0000 0.0000  4 Se 2.69-2.73
2 Li 0.1979 0.5000 0.5000  4 Se 2.69-2.73
3 Hg 0.2505 0.7352 0.8048  4 Se 2.82-3.11
4 Hg 0.2505 0.2648 0.8048  4 Se 2.82-3.11
5 Hg 0.7452 0.5000 0.0000  4 Se 2.67-2.86
6 Hg 0.2505 0.7352 0.1952  4 Se 2.82-3.11
7 Hg 0.2505 0.2648 0.1952  4 Se 2.82-3.11
8 Hg 0.7495 0.7648 0.3048  4 Se 2.82-3.11
9 Hg 0.7495 0.2352 0.3048  4 Se 2.82-3.11
10 Hg 0.2548 0.0000 0.5000  4 Se 2.67-2.86
11 Hg 0.7495 0.2352 0.6952  4 Se 2.82-3.11
12 Hg 0.7495 0.7648 0.6952  4 Se 2.82-3.11
13 Se 0.0156 0.0000 0.7522  1 Li 2.73, 5 Hg 2.84-2.91
14 Se 0.5621 0.7633 0.0000  3 Hg 2.67-2.82, 1 Li 2.69
15 Se 0.5621 0.2367 0.0000  3 Hg 2.67-2.82, 1 Li 2.69
16 Se 0.0156 0.0000 0.2478  1 Li 2.73, 5 Hg 2.84-2.91
17 Se 0.9844 0.5000 0.2522  1 Li 2.73, 5 Hg 2.84-2.91
18 Se 0.4379 0.7367 0.5000  3 Hg 2.67-2.82, 1 Li 2.69
19 Se 0.4379 0.2633 0.5000  3 Hg 2.67-2.82, 1 Li 2.69
20 Se 0.9844 0.5000 0.7478  1 Li 2.73, 5 Hg 2.84-2.91

Values from the calculation:
Symmetry ... Pmmn
Formation energy without anion corrections ... -0.190 eV per atom


# 2
Material: U2AsH2S
Method: DFT, PBE
State: relaxed

abc: 3.8256 3.8256 7.3544
angles: 90.00 90.00 120.00
Last column: nearest neighbours and their distance in Å.
Sites, in units of the cell vectors:
1 U 0.3333 0.6667 0.7573  3 H 2.21
2 U 0.6667 0.3333 0.2427  3 H 2.21
3 As 0.0000 0.0000 0.5000  6 H 2.90, 6 U 2.91
4 H 0.3333 0.6667 0.2441  3 U 2.21
5 H 0.6667 0.3333 0.7559  3 U 2.21
6 S 0.0000 0.0000 0.0000  6 U 2.84, 6 H 2.85

Values from the calculation:
Symmetry ... P-3m1
Total energy ... -7.192 eV per atom


# 3
Material: CaPrIn6
Method: DFT, PBE
State: relaxed

abc: 4.7323 4.7323 9.4588
angles: 90.00 90.00 90.00
Last column: nearest neighbours and their distance in Å.
Sites, in units of the cell vectors:
1 Ca 0.0000 0.0000 0.0000  12 In 3.32-3.35
2 Pr 0.0000 0.0000 0.5000  12 In 3.35-3.37
3 In 0.5000 0.5000 0.0000  8 In 3.32, 4 Ca 3.35
4 In 0.5000 0.5000 0.5000  4 Pr 3.35, 8 In 3.37
5 In 0.5000 0.0000 0.2465  8 In 3.32-3.37, 2 Ca 3.32, 2 Pr 3.37
6 In 0.5000 0.0000 0.7535  8 In 3.32-3.37, 2 Ca 3.32, 2 Pr 3.37
7 In 0.0000 0.5000 0.2465  8 In 3.32-3.37, 2 Ca 3.32, 2 Pr 3.37
8 In 0.0000 0.5000 0.7535  8 In 3.32-3.37, 2 Ca 3.32, 2 Pr 3.37

Values from the calculation:
Symmetry ... P4/mmm
ΔH_f (0 K) ... -0.39 eV/atom


Mass density for the records above, in order: 7.7, 10.4, 6.8 g cm⁻³
DOS(E_F) for the records above, in order: 0.25, 1.25, 0.39 states/eV per atom